Entry 1:
Below is an optimized crystal structure of Y5In2Pt, with properties calculated at the PBE level.

Computed properties:
As for the formation energy: -608 meV per atom. The value obtained for the total DFT energy (no corrections) is -6.0879 eV/atom. The crystal system is orthorhombic. The space group is Pbam. Its magnetization is 0.0 μB per formula unit.

Cell: 4.8266 7.2637 12.5890 Å, 90.00 90.00 90.00°
Positions (direct):
Y 0.0000 0.0000 0.5000
Y 0.0000 0.5000 0.0000
Y 0.0000 0.8690 0.2127
Y 0.0000 0.1310 0.7873
Y 0.0000 0.6310 0.7127
Y 0.0000 0.3690 0.2873
Y 0.5000 0.6788 0.4186
Y 0.5000 0.3212 0.5814
Y 0.5000 0.8212 0.9186
Y 0.5000 0.1788 0.0814
In 0.5000 0.5946 0.1627
In 0.5000 0.4054 0.8373
In 0.5000 0.9054 0.6627
In 0.5000 0.0946 0.3373
Pt 0.0000 0.5000 0.5000
Pt 0.0000 0.0000 0.0000

=====

Entry 2:
Below is an optimized crystal structure of Tb6Tl3Ir, with properties calculated at the PBE level.

Computed properties:
As for the formation energy: -347 meV per atom. The value obtained for the total DFT energy (no corrections) is -4.7213 eV/atom. The crystal system is monoclinic. The space group is P2_1/m. Its magnetization is 0.0 μB per formula unit.

Cell: 3.7231 11.3484 14.3512 Å, 107.55 90.00 90.00°
Positions (direct):
Tb 0.7500 0.5061 0.6798
Tb 0.2500 0.4939 0.3202
Tb 0.7500 0.8804 0.1389
Tb 0.2500 0.1196 0.8611
Tb 0.7500 0.4047 0.0838
Tb 0.2500 0.5953 0.9162
Tb 0.7500 0.7739 0.3428
Tb 0.2500 0.2261 0.6572
Tb 0.7500 0.0961 0.4313
Tb 0.2500 0.9039 0.5687
Tb 0.7500 0.8316 0.7613
Tb 0.2500 0.1684 0.2387
Tl 0.7500 0.3609 0.8492
Tl 0.2500 0.6391 0.1508
Tl 0.7500 0.6428 0.5174
Tl 0.2500 0.3572 0.4826
Tl 0.7500 0.1184 0.0495
Tl 0.2500 0.8816 0.9505
Ir 0.7500 0.0539 0.6996
Ir 0.2500 0.9461 0.3004

=====

Entry 3:
Below is an optimized crystal structure of Ho5Ag2Pd12, with properties calculated at the PBE level.

Computed properties:
As for the formation energy: -483 meV per atom. The value obtained for the total DFT energy (no corrections) is -5.2679 eV/atom. The crystal system is monoclinic. The space group is C2/m. Its magnetization is 0.0 μB per formula unit.

Cell: 5.5527 8.7967 9.4954 Å, 114.33 90.00 108.40°
Positions (direct):
Ho 0.3172 0.6344 0.6271
Ho 0.3459 0.6918 0.1277
Ho 0.0000 0.0000 0.5000
Ho 0.6541 0.3082 0.8723
Ho 0.6828 0.3656 0.3729
Ag 0.7495 0.0000 0.0000
Ag 0.2505 0.0000 0.0000
Pd 0.1072 0.2145 0.3104
Pd 0.0507 0.6268 0.8712
Pd 0.5761 0.6268 0.8712
Pd 0.0917 0.6846 0.3918
Pd 0.5929 0.6846 0.3918
Pd 0.4885 0.9771 0.6342
Pd 0.5115 0.0229 0.3658
Pd 0.9083 0.3154 0.6082
Pd 0.4071 0.3154 0.6082
Pd 0.9493 0.3732 0.1288
Pd 0.4239 0.3732 0.1288
Pd 0.8928 0.7855 0.6896

=====

Entry 4:
Below is an optimized crystal structure of SrAgP2, with properties calculated at the PBE level.

Computed properties:
As for the formation energy: 0 meV per atom. The value obtained for the total DFT energy (no corrections) is -3.8387 eV/atom. The crystal system is tetragonal. The space group is I-4m2. Its magnetization is 0.0 μB per formula unit.

Cell: 5.6624 5.6624 5.6624 Å, 136.54 136.54 63.14°
Positions (direct):
Ag 0.7500 0.2500 0.5000
P 0.0000 0.0000 0.0000
P 0.2500 0.7500 0.5000
Sr 0.5000 0.5000 0.0000